This record from the Alexandria database describes a relaxed Y2TlWO8 crystal. The functional is PBE+U.

abc: 4.9729 4.9743 7.1152
angles: 89.99 89.99 92.55
With the nearest neighbours (Å) after each atom.
Element x y z (fractional)
1 O 0.7001 0.7006 0.5001  1 Tl 2.06, 2 Y 2.26
2 O 0.1862 0.8127 0.1986  1 W 1.95
3 O 0.7151 0.7162 0.9999  1 W 1.95
4 O 0.2999 0.2994 0.4999  1 Tl 2.06, 2 Y 2.26
5 O 0.2849 0.2838 0.0001  1 W 1.95
6 O 0.8138 0.1873 0.8014  1 W 1.95
7 O 0.1865 0.8130 0.8014  1 W 1.95
8 O 0.8135 0.1870 0.1986  1 W 1.95
9 Tl 0.0000 0.0000 0.5000  2 O 2.06
10 Y 0.5001 0.5001 0.2489  6 O 2.26-2.31
11 Y 0.4999 0.4999 0.7511  6 O 2.26-2.31
12 W 0.0000 0.0000 0.0000  6 O 1.95

Properties
DFT total energy: -7.404 eV/atom
Magnetic moment: 0.09 μB/atom
Space group: No. 65